DFT (GGA-PBEsol) results for an optimized crystal structure of ZrMn4Mo.

Cell: 4.7723 4.7723 4.7723 Å, 60.00 60.00 60.00°
Fractional coordinates of all 6 atoms:
Zr 0.0000 0.0000 0.0000
Mn 0.1228 0.6257 0.6257
Mn 0.6257 0.1228 0.6257
Mn 0.6257 0.6257 0.1228
Mn 0.6257 0.6257 0.6257
Mo 0.2500 0.2500 0.2500

## Properties
Final energy: -10.04 eV/atom
D(E_F): 1.884 states/eV per atom


DFT (GGA-PBEsol) results for an optimized crystal structure of ZrMn2Mo.

Cell: 4.2977 4.2977 3.0281 Å, 90.00 90.00 90.00°
Fractional coordinates of all 4 atoms:
Zr 0.0000 0.0000 0.0000
Mn 0.0000 0.5000 0.5000
Mn 0.5000 0.0000 0.5000
Mo 0.5000 0.5000 0.0000

## Properties
Final energy: -10.05 eV/atom
D(E_F): 0.421 states/eV per atom
ΔE to the lowest computed polymorph: 0.000 eV/atom


DFT (GGA-PBEsol) results for an optimized crystal structure of ZrMnMo2.

Cell: 5.3253 5.3253 5.3253 Å, 139.45 139.45 58.69°
Fractional coordinates of all 4 atoms:
Zr 0.0000 0.0000 0.0000
Mn 0.5000 0.5000 0.0000
Mo 0.2500 0.7500 0.5000
Mo 0.7500 0.2500 0.5000

## Properties
Final energy: -10.33 eV/atom
D(E_F): 0.807 states/eV per atom
ΔE to the lowest computed polymorph: 0.097 eV/atom


DFT (GGA-PBEsol) results for an optimized crystal structure of ZrMn3Mo.

Cell: 4.4971 4.4971 4.4971 Å, 90.00 90.00 90.00°
Fractional coordinates of all 5 atoms:
Zr 0.0000 0.0000 0.0000
Mn 0.0000 0.0000 0.5000
Mn 0.0000 0.5000 0.0000
Mn 0.5000 0.0000 0.0000
Mo 0.5000 0.5000 0.5000

## Properties
Final energy: -8.13 eV/atom
D(E_F): 1.259 states/eV per atom


DFT (GGA-PBEsol) results for an optimized crystal structure of ZrMnMo2.

Cell: 2.7964 4.3736 5.0950 Å, 90.00 100.58 90.00°
Fractional coordinates of all 4 atoms:
Zr 0.0000 0.0000 0.0000
Mn 0.5000 0.0000 0.5000
Mo 0.2574 0.5000 0.7403
Mo 0.7426 0.5000 0.2597

## Properties
Final energy: -10.43 eV/atom
D(E_F): 0.795 states/eV per atom
ΔE to the lowest computed polymorph: 0.000 eV/atom


DFT (GGA-PBEsol) results for an optimized crystal structure of ZrMn2Mo.

Cell: 7.9502 7.9502 7.9502 Å, 21.35 21.35 21.35°
Fractional coordinates of all 4 atoms:
Zr 0.0000 0.0000 0.0000
Mn 0.2433 0.2433 0.2433
Mn 0.7567 0.7567 0.7567
Mo 0.5000 0.5000 0.5000

## Properties
Final energy: -9.68 eV/atom
D(E_F): 1.002 states/eV per atom
ΔE to the lowest computed polymorph: 0.378 eV/atom


DFT (GGA-PBEsol) results for an optimized crystal structure of MnN.

Cell: 2.8607 2.8607 2.8607 Å, 60.00 60.00 60.00°
Fractional coordinates of all 2 atoms:
Mn 0.0000 0.0000 0.0000
N 0.5000 0.5000 0.5000

## Properties
Formation energy without anion corrections: -321.6 meV per atom
Final energy: -9.47 eV/atom
D(E_F): 0.627 states/eV per atom


DFT (GGA-PBEsol) results for an optimized crystal structure of MnN.

Cell: 2.9736 2.9736 2.9736 Å, 60.00 60.00 60.00°
Fractional coordinates of all 2 atoms:
Mn 0.0000 0.0000 0.0000
N 0.7500 0.7500 0.7500

## Properties
Formation energy without anion corrections: -443.3 meV per atom
Final energy: -9.59 eV/atom
D(E_F): 0.424 states/eV per atom